Here is crystalline ScCrCuPd2 at its relaxed geometry from Alexandria. Energies are from PBE.

## Properties
magnetic moment: 3.85 μB per cell
ΔE_f: 0.997 eV per atom

Unit cell a=4.6947 b=4.6947 c=4.7888 alpha=90.00 beta=90.00 gamma=90.00
Space group P4/mmm (No. 123)
Asymmetric unit:
Sc (0.0000, 0.0000, 0.0000)
Cr (0.0000, 0.0000, 0.5000)
Cu (0.5000, 0.5000, 0.5000)
Pd (0.0000, 0.5000, 0.0000)